Material: TbH
Method: DFT, PBE
State: relaxed

a b c (Å): 3.3141 3.3141 3.2594
angles (deg): 90.00 90.00 120.00
Space group P-6m2 (No. 187)
Symmetry-distinct sites (fractional):
Tb1 0.0000 0.0000 0.0000 (multiplicity 1)
H1 0.3333 0.6667 0.5000 (multiplicity 1)

Calculated values
E	-0.15266	Ha/atom
size of the total moment	0.00	μB per cell

---

Material: Na2Al4PtAu
Method: DFT, PBE
State: relaxed

a b c (Å): 7.275 4.240 9.937
angles (deg): 90.00 90.00 90.00
Space group Amm2 (No. 38)
Symmetry-distinct sites (fractional):
Na1 0.000 0.000 0.000 (multiplicity 2)
Na2 0.500 0.000 0.132 (multiplicity 2)
Al1 0.188 0.000 0.716 (multiplicity 4)
Al2 0.297 0.000 0.415 (multiplicity 4)
Pt1 0.000 0.000 0.281 (multiplicity 2)
Au1 0.500 0.000 0.850 (multiplicity 2)

Calculated values
E	-0.13901	Ha/atom
size of the total moment	0.00	μB per cell

---

Material: AlPd2O4
Method: DFT, PBE
State: relaxed

a b c (Å): 8.571 8.571 8.571
angles (deg): 90.00 90.00 90.00
Space group Fd-3m (No. 227, origin choice 2)
Symmetry-distinct sites (fractional):
Al1 0.125 0.125 0.125 (multiplicity 8)
Pd1 0.000 0.000 0.500 (multiplicity 16)
O1 0.004 0.004 0.246 (multiplicity 32)

Calculated values
E	-0.21322	Ha/atom

---

Material: BaNdAgSe2S
Method: DFT, PBE
State: relaxed

a b c (Å): 4.304 14.239 10.769
angles (deg): 90.00 90.00 90.00
Space group Cmcm (No. 63)
Symmetry-distinct sites (fractional):
Ba1 0.000 0.240 0.250 (multiplicity 4)
Nd1 0.000 0.500 0.000 (multiplicity 4)
Ag1 0.000 0.029 0.750 (multiplicity 4)
Se1 0.000 0.141 0.555 (multiplicity 8)
S1 0.000 0.425 0.750 (multiplicity 4)

Calculated values
E	-0.18469	Ha/atom
size of the total moment	0.01	μB per cell

---

Material: KHfIn
Method: DFT, PBE
State: relaxed

a b c (Å): 7.315 7.315 7.315
angles (deg): 90.00 90.00 90.00
Space group F-43m (No. 216)
Symmetry-distinct sites (fractional):
K1 0.000 0.000 0.000 (multiplicity 4)
Hf1 0.250 0.250 0.750 (multiplicity 4)
In1 0.250 0.250 0.250 (multiplicity 4)

Calculated values
E	-0.11358	Ha/atom
size of the total moment	0.34	μB per cell

---

Material: YCdFeBi
Method: DFT, PBE
State: relaxed

a b c (Å): 7.143 7.143 7.143
angles (deg): 90.00 90.00 90.00
Space group F-43m (No. 216)
Symmetry-distinct sites (fractional):
Y1 0.000 0.000 0.000 (multiplicity 4)
Cd1 0.250 0.250 0.750 (multiplicity 4)
Fe1 0.000 0.000 0.500 (multiplicity 4)
Bi1 0.250 0.250 0.250 (multiplicity 4)

Calculated values
E	-0.17779	Ha/atom
size of the total moment	8.33	μB per cell

---

Material: Ag2HgPbSe3S
Method: DFT, PBE
State: relaxed

a b c (Å): 8.599 8.706 7.526
angles (deg): 90.00 124.49 90.00
Space group Cm (No. 8)
Symmetry-distinct sites (fractional):
Ag1 0.000 0.238 0.000 (multiplicity 4)
Hg1 0.490 0.000 0.486 (multiplicity 2)
Pb1 0.497 0.500 0.485 (multiplicity 2)
Se1 0.111 0.500 0.220 (multiplicity 2)
Se2 0.126 0.251 0.749 (multiplicity 4)
S1 0.118 0.000 0.234 (multiplicity 2)

Calculated values
E	-0.11698	Ha/atom

---

Material: As2PbAu
Method: DFT, PBE
State: relaxed

a b c (Å): 11.629 3.722 4.783
angles (deg): 90.00 107.73 90.00
Space group C2/m (No. 12)
Symmetry-distinct sites (fractional):
As1 0.230 0.000 0.156 (multiplicity 4)
Pb1 0.000 0.500 0.500 (multiplicity 2)
Au1 0.000 0.000 0.000 (multiplicity 2)

Calculated values
E	-0.15184	Ha/atom

---

Material: ZrZnCoTc
Method: DFT, PBE
State: relaxed

a b c (Å): 6.226 6.226 6.226
angles (deg): 90.00 90.00 90.00
Space group F-43m (No. 216)
Symmetry-distinct sites (fractional):
Zr1 0.000 0.000 0.000 (multiplicity 4)
Zn1 0.000 0.000 0.500 (multiplicity 4)
Co1 0.250 0.250 0.750 (multiplicity 4)
Tc1 0.250 0.250 0.250 (multiplicity 4)

Calculated values
formation energy from the elements	-14	meV/atom
size of the total moment	4.04	μB per cell

---

Material: Ac2Os2O5
Method: DFT, PBE
State: relaxed

a b c (Å): 4.044 4.044 7.370
angles (deg): 90.00 90.00 90.00
Space group P4/mmm (No. 123)
Symmetry-distinct sites (fractional):
Ac1 0.000 0.000 0.000 (multiplicity 1)
Ac2 0.000 0.000 0.500 (multiplicity 1)
Os1 0.500 0.500 0.194 (multiplicity 2)
O1 0.000 0.500 0.238 (multiplicity 4)
O2 0.500 0.500 0.500 (multiplicity 1)

Calculated values
E	-0.29084	Ha/atom
size of the total moment	0.03	μB per cell

---

Material: Mo2SeS3
Method: DFT, PBE
State: relaxed

a b c (Å): 5.841 3.203 6.458
angles (deg): 90.00 90.33 90.00
Space group Pm (No. 6)
Symmetry-distinct sites (fractional):
Mo1 0.000 0.000 0.000 (multiplicity 1)
Mo2 0.387 0.500 0.023 (multiplicity 1)
Se1 0.620 0.000 0.776 (multiplicity 1)
S1 0.108 0.500 0.745 (multiplicity 1)
S2 0.284 0.000 0.278 (multiplicity 1)
S3 0.772 0.500 0.208 (multiplicity 1)

Calculated values
E	-0.25444	Ha/atom
size of the total moment	0.00	μB per cell

---

Material: Dy2Y3Er2Ni2Te2
Method: DFT, PBE
State: relaxed

a b c (Å): 3.845 15.598 9.568
angles (deg): 90.00 90.00 90.00
Space group Imm2 (No. 44)
Symmetry-distinct sites (fractional):
Dy1 0.000 0.132 0.000 (multiplicity 4)
Y1 0.000 0.000 0.582 (multiplicity 2)
Y2 0.000 0.315 0.202 (multiplicity 4)
Er1 0.000 0.353 0.851 (multiplicity 4)
Ni1 0.000 0.238 0.509 (multiplicity 4)
Te1 0.000 0.000 0.246 (multiplicity 2)
Te2 0.000 0.500 0.346 (multiplicity 2)

Calculated values
E	-0.20915	Ha/atom
size of the total moment	0.03	μB per cell